# 1
A geometry-optimized Cr2SiHg structure, computed with PBE.

Values from the calculation:
Calculated volume (Å³/atom): 15.53
Energy relative to the elements, uncorrected (eV per atom): 0.292
Size of the total moment (μB/f.u.): 0.7
Raw total energy (eV/atom): -5.951

a b c (Å): 2.9724 2.9724 7.0321
angles (deg): 90.00 90.00 90.00
With the nearest neighbours (Å) after each atom.
Atoms (fractional coordinates):
Cr 0.0000 0.0000 0.0000  4 Si 2.48, 4 Cr 2.50
Cr 0.5000 0.5000 0.1917  4 Cr 2.50, 1 Si 2.66
Si 0.5000 0.5000 0.8137  5 Cr 2.48-2.66
Hg 0.0000 0.0000 0.4828  4 Cr 2.93, 4 Hg 2.97, 4 Si 3.14

---

# 2
A geometry-optimized Mn2AgGeSb structure, computed with PBE.

Values from the calculation:
Calculated volume (Å³/atom): 25.79
Energy relative to the elements, uncorrected (eV per atom): 1.012
Size of the total moment (μB/f.u.): 8.4
Raw total energy (eV/atom): -4.974

a b c (Å): 4.9830 4.9830 5.1932
angles (deg): 90.00 90.00 90.00
With the nearest neighbours (Å) after each atom.
Atoms (fractional coordinates):
Mn 0.0000 0.5000 0.0000  2 Ag 2.49
Mn 0.5000 0.0000 0.0000  2 Ag 2.49
Ag 0.0000 0.0000 0.0000  4 Mn 2.49, 2 Sb 2.60
Ge 0.5000 0.5000 0.5000  4 Sb 3.52, 8 Mn 3.60
Sb 0.0000 0.0000 0.5000  2 Ag 2.60

---

# 3
A geometry-optimized ErTmZnCd structure, computed with PBE.

Values from the calculation:
Calculated volume (Å³/atom): 23.62
Size of the total moment (μB/f.u.): 0.0
Raw total energy (eV/atom): -3.138
Formation enthalpy at 0 K (kJ/mol of formula units): -128.1

a b c (Å): 3.5533 3.5533 7.4842
angles (deg): 90.00 90.00 90.00
With the nearest neighbours (Å) after each atom.
Atoms (fractional coordinates):
Er 0.0000 0.0000 0.0000  4 Zn 3.06, 4 Cd 3.23
Tm 0.0000 0.0000 0.4612  4 Zn 3.04, 4 Cd 3.21
Zn 0.5000 0.5000 0.2330  4 Tm 3.04, 4 Er 3.06
Cd 0.5000 0.5000 0.7286  4 Tm 3.21, 4 Er 3.23, 4 Cd 3.55

---

Number 3 is which compound? ErTmZnCd